Computed, not measured: crystalline ReAs2Os2 at its relaxed geometry at the PBEsol level of DFT.

Properties
For the formation energy, the calculation gives 377.4 kJ/mol of formula units. The calculated volume comes out at 15.78 Å³/atom. As for the space-group type: I4/mmm, No. 139. The density of states at the Fermi level comes out at 4.10 states/eV/f.u. The total magnetization comes out at 0.571 Bohr magnetons per cell.

Cell lengths 6.325, 6.325, 6.325 Å; angles 145.97, 145.97, 48.89 degrees
Positions (direct):
Re1 0.000 0.000 0.000
As1 0.250 0.750 0.500
As2 0.750 0.250 0.500
Os1 0.393 0.393 0.000
Os2 0.607 0.607 0.000